[1]
First-principles (GGA-PBE) data for a geometry-optimized Mn3Pt structure, as listed in the Alexandria database.

Structure (extended XYZ):
```
4
Lattice="-0.285 1.755 -1.982 2.597 -3.489 -2.270 -4.701 -1.018 0.967" Properties=species:S:1:pos:R:3 pbc="T T T"
Mn 1.156 -0.867 -2.126
Mn -1.052 -2.253 -0.652
Mn 0.000 0.000 0.000
Pt -2.493 0.369 -0.508
```

Calculated values
- Raw total energy: -8.24 eV per atom
- Density of states at the Fermi level: 1.35 states/eV per atom

***

[2]
First-principles (GGA-PBE) data for a geometry-optimized MnPt structure, as listed in the Alexandria database.

Structure (extended XYZ):
```
4
Lattice="3.779 0.000 0.000 -1.890 3.273 0.000 0.000 0.000 6.216" Properties=species:S:1:pos:R:3 pbc="T T T"
Pt 0.000 2.182 4.527
Pt 1.890 1.091 1.419
Mn 1.890 1.091 5.307
Mn 0.000 2.182 2.199
```

Calculated values
- Raw total energy: -6.69 eV per atom
- Density of states at the Fermi level: 1.10 states/eV per atom

***

Number 1: energy of formation 0.147 eV/atom. Number 2: energy of formation 0.915 eV/atom.